CeOsPd | GGA-PBE | relaxed

- Energy of formation from the pure elements: -30 kJ per mole of atoms
- Magnetization: 0.00 μB/cell

Unit cell a=6.958 b=5.798 c=5.861 alpha=90.00 beta=90.00 gamma=90.00
Space group Pnma (No. 62)
Symmetry-distinct sites (fractional):
Ce1 0.163 0.250 0.122 [4 per cell]
Os1 0.000 0.000 0.500 [4 per cell]
Pd1 0.189 0.750 0.154 [4 per cell]

---

MgMn2W2 | GGA-PBE | relaxed

- Energy of formation from the pure elements: 30 kJ per mole of atoms
- Offset from the most stable computed form: 0 meV per atom
- Magnetization: 0.79 μB/cell

Unit cell a=7.224 b=7.224 c=2.845 alpha=90.00 beta=90.00 gamma=90.00
Space group P4/mbm (No. 127)
Symmetry-distinct sites (fractional):
Mg1 0.000 0.000 0.000 [2 per cell]
Mn1 0.141 0.359 0.000 [4 per cell]
W1 0.154 0.654 0.500 [4 per cell]

---

Which formula does entry 2 have? MgMn2W2

---

energy of formation from the pure elements of number 1 (CeOsPd)? -30 kJ per mole of atoms